Material: CePm2Sn2
Method: DFT, PBE-GGA
State: relaxed

Geometry as POSCAR:
```
CePm2Sn2
1.0
5.380 0.000 0.000
-2.690 4.659 0.000
0.000 0.000 6.580
Ce Pm Sn
1 2 2
Direct
0.000 0.000 0.000
0.333 0.667 0.685
0.667 0.333 0.315
0.333 0.667 0.200
0.667 0.333 0.800
```

## Properties
Energy = -0.1908 hartree per atom
ΔH_f (0 K) = -503 meV/atom
ρ = 6.7 g cm⁻³
N(E_F) = 8.589 states/eV/f.u.


Material: Ce4PmSn4
Method: DFT, PBE-GGA
State: relaxed

Geometry as POSCAR:
```
Ce4PmSn4
1.0
8.488 0.000 0.000
0.000 8.488 0.000
0.000 0.000 8.778
Ce Pm Sn
8 2 8
Direct
0.007 0.250 0.120
0.250 0.007 0.620
0.250 0.493 0.620
0.493 0.250 0.120
0.507 0.750 0.880
0.750 0.507 0.380
0.750 0.993 0.380
0.993 0.750 0.880
0.250 0.750 0.250
0.750 0.250 0.750
0.007 0.250 0.485
0.250 0.007 0.985
0.250 0.493 0.985
0.493 0.250 0.485
0.507 0.750 0.515
0.750 0.507 0.015
0.750 0.993 0.015
0.993 0.750 0.515
```

## Properties
Energy = -0.1925 hartree per atom
ΔH_f (0 K) = -294 meV/atom
ρ = 6.2 g cm⁻³
N(E_F) = 25.378 states/eV/f.u.


Material: Ce3PmSn12
Method: DFT, PBE-GGA
State: relaxed

Geometry as POSCAR:
```
Ce3PmSn12
1.0
4.745 0.000 0.000
0.000 4.745 0.000
0.000 0.000 18.745
Ce Pm Sn
3 1 12
Direct
0.000 0.000 0.000
0.000 0.000 0.248
0.000 0.000 0.752
0.000 0.000 0.500
0.000 0.500 0.124
0.000 0.500 0.374
0.000 0.500 0.626
0.000 0.500 0.876
0.500 0.000 0.124
0.500 0.000 0.374
0.500 0.000 0.626
0.500 0.000 0.876
0.500 0.500 0.000
0.500 0.500 0.249
0.500 0.500 0.500
0.500 0.500 0.751
```

## Properties
Energy = -0.1816 hartree per atom
ΔH_f (0 K) = -529 meV/atom
ρ = 7.8 g cm⁻³
N(E_F) = 15.654 states/eV/f.u.


Material: Ce2PmSn2
Method: DFT, PBE-GGA
State: relaxed

Geometry as POSCAR:
```
Ce2PmSn2
1.0
9.047 0.000 0.000
0.000 9.047 0.000
0.000 0.000 3.546
Ce Pm Sn
4 2 4
Direct
0.104 0.396 0.000
0.396 0.896 0.000
0.604 0.104 0.000
0.896 0.604 0.000
0.000 0.000 0.000
0.500 0.500 0.000
0.190 0.690 0.500
0.310 0.190 0.500
0.690 0.810 0.500
0.810 0.310 0.500
```

## Properties
Energy = -0.1974 hartree per atom
ΔH_f (0 K) = -446 meV/atom
ρ = 7.6 g cm⁻³
N(E_F) = 8.573 states/eV/f.u.


Material: CePm3Sn3
Method: DFT, PBE-GGA
State: relaxed

Geometry as POSCAR:
```
CePm3Sn3
1.0
5.388 3.111 2.183
-5.388 3.111 2.183
0.000 -6.222 2.183
Ce Pm Sn
1 3 3
Direct
0.000 0.000 0.000
0.132 0.565 0.565
0.565 0.132 0.565
0.565 0.565 0.132
0.064 0.064 0.566
0.064 0.566 0.064
0.566 0.064 0.064
```

## Properties
Energy = -0.1886 hartree per atom
ΔH_f (0 K) = -532 meV/atom
ρ = 7.0 g cm⁻³
N(E_F) = 11.097 states/eV/f.u.


Material: Ce2PmSn
Method: DFT, PBE-GGA
State: relaxed

Geometry as POSCAR:
```
Ce2PmSn
1.0
4.227 0.000 0.000
0.000 4.227 0.000
0.000 0.000 6.827
Ce Pm Sn
2 1 1
Direct
0.000 0.000 0.203
0.000 0.000 0.797
0.500 0.500 0.500
0.500 0.500 0.000
```

## Properties
Energy = -0.2007 hartree per atom
ΔH_f (0 K) = -307 meV/atom
Distance to the lowest polymorph of the same formula = 43 kJ/mol of formula units
ρ = 7.4 g cm⁻³
N(E_F) = 10.008 states/eV/f.u.


Material: CePmSn3
Method: DFT, PBE-GGA
State: relaxed

Geometry as POSCAR:
```
CePmSn3
1.0
4.455 0.000 0.000
0.000 6.686 0.000
0.000 0.000 9.892
Ce Pm Sn
2 2 6
Direct
0.250 0.250 0.110
0.750 0.750 0.890
0.250 0.750 0.457
0.750 0.250 0.543
0.250 0.009 0.727
0.250 0.491 0.727
0.250 0.750 0.129
0.750 0.250 0.871
0.750 0.509 0.273
0.750 0.991 0.273
```

## Properties
Energy = -0.1872 hartree per atom
ΔH_f (0 K) = -555 meV/atom
ρ = 7.2 g cm⁻³
N(E_F) = 7.416 states/eV/f.u.


Material: Ce2Pm8Sn3
Method: DFT, PBE-GGA
State: relaxed

Geometry as POSCAR:
```
Ce2Pm8Sn3
1.0
3.246 1.874 11.747
-3.246 1.874 11.747
0.000 -3.748 11.747
Ce Pm Sn
2 8 3
Direct
0.139 0.139 0.139
0.861 0.861 0.861
0.218 0.218 0.718
0.218 0.718 0.218
0.221 0.221 0.221
0.282 0.782 0.782
0.718 0.218 0.218
0.779 0.779 0.779
0.782 0.282 0.782
0.782 0.782 0.282
0.308 0.308 0.308
0.500 0.500 0.500
0.692 0.692 0.692
```

## Properties
Energy = -0.1747 hartree per atom
ΔH_f (0 K) = 6 meV/atom
ρ = 7.0 g cm⁻³
N(E_F) = 23.254 states/eV/f.u.


Material: Ce2PmSn
Method: DFT, PBE-GGA
State: relaxed

Geometry as POSCAR:
```
Ce2PmSn
1.0
4.525 0.000 0.000
0.000 4.411 0.000
-1.965 0.000 11.454
Ce Pm Sn
4 2 2
Direct
0.000 0.250 0.114
0.000 0.750 0.886
0.393 0.250 0.886
0.607 0.750 0.114
0.301 0.750 0.610
0.699 0.250 0.390
0.178 0.750 0.326
0.822 0.250 0.674
```

## Properties
Energy = -0.2048 hartree per atom
ΔH_f (0 K) = -418 meV/atom
Distance to the lowest polymorph of the same formula = 0 kJ/mol of formula units
ρ = 7.9 g cm⁻³
N(E_F) = 7.885 states/eV/f.u.


Material: CePm8Sn5
Method: DFT, PBE-GGA
State: relaxed

Geometry as POSCAR:
```
CePm8Sn5
1.0
-4.782 4.782 4.779
4.782 -4.782 4.779
4.782 4.782 -4.779
Ce Pm Sn
1 8 5
Direct
0.000 0.000 0.000
0.022 0.615 0.733
0.234 0.502 0.106
0.385 0.118 0.407
0.395 0.128 0.894
0.498 0.605 0.733
0.711 0.978 0.593
0.872 0.766 0.267
0.882 0.289 0.267
0.118 0.235 0.624
0.250 0.750 0.500
0.506 0.882 0.116
0.610 0.494 0.376
0.765 0.390 0.884
```

## Properties
Energy = -0.1859 hartree per atom
ΔH_f (0 K) = -489 meV/atom
ρ = 7.2 g cm⁻³
N(E_F) = 19.662 states/eV/f.u.


Material: CePm4Sn4
Method: DFT, PBE-GGA
State: relaxed

Geometry as POSCAR:
```
CePm4Sn4
1.0
8.500 0.000 0.000
0.000 8.500 0.000
0.000 0.000 8.820
Ce Pm Sn
2 8 8
Direct
0.250 0.750 0.250
0.750 0.250 0.750
0.013 0.250 0.113
0.250 0.013 0.613
0.250 0.487 0.613
0.487 0.250 0.113
0.513 0.750 0.887
0.750 0.513 0.387
0.750 0.987 0.387
0.987 0.750 0.887
0.004 0.250 0.475
0.250 0.004 0.975
0.250 0.496 0.975
0.496 0.250 0.475
0.504 0.750 0.525
0.750 0.504 0.025
0.750 0.996 0.025
0.996 0.750 0.525
```

## Properties
Energy = -0.1819 hartree per atom
ΔH_f (0 K) = -401 meV/atom
ρ = 6.2 g cm⁻³
N(E_F) = 11.428 states/eV/f.u.


Material: Ce2PmSn9
Method: DFT, PBE-GGA
State: relaxed

Geometry as POSCAR:
```
Ce2PmSn9
1.0
4.729 0.000 0.000
0.000 4.729 0.000
0.000 0.000 14.195
Ce Pm Sn
2 1 9
Direct
0.000 0.000 0.164
0.000 0.000 0.836
0.000 0.000 0.500
0.000 0.500 0.000
0.000 0.500 0.331
0.000 0.500 0.669
0.500 0.000 0.000
0.500 0.000 0.331
0.500 0.000 0.669
0.500 0.500 0.166
0.500 0.500 0.500
0.500 0.500 0.834
```

## Properties
Energy = -0.1803 hartree per atom
ΔH_f (0 K) = -520 meV/atom
ρ = 7.8 g cm⁻³
N(E_F) = 12.495 states/eV/f.u.